# Li2Mg2Zn2AgPt, relaxed, DFT PBE
data_Li2Mg2Zn2AgPt
_chemical_formula_sum 'Li2 Mg2 Zn2 Ag1 Pt1'
_symmetry_space_group_name_H-M 'P -4 m 2'
_symmetry_Int_Tables_number 115
_cell_length_a 4.449
_cell_length_b 4.449
_cell_length_c 6.360
_cell_angle_alpha 90.00
_cell_angle_beta 90.00
_cell_angle_gamma 90.00
loop_
_symmetry_equiv_pos_as_xyz
'x,y,z'
'y,-x,-z'
'-x,-y,z'
'-y,x,-z'
'-x,y,z'
'-y,-x,-z'
'x,-y,z'
'y,x,-z'
loop_
_atom_site_label
_atom_site_type_symbol
_atom_site_fract_x
_atom_site_fract_y
_atom_site_fract_z
Li1 Li 0.000 0.000 0.000
Li2 Li 0.500 0.500 0.500
Mg1 Mg 0.000 0.500 0.738
Zn1 Zn 0.000 0.500 0.262
Ag1 Ag 0.500 0.500 0.000
Pt1 Pt 0.000 0.000 0.500
# - E: -2.6961 eV per atom
# - V: 15.7 Å³ per atom



# ZnCuMoAs, relaxed, DFT PBE
data_ZnCuMoAs
_chemical_formula_sum 'Zn4 Cu4 Mo4 As4'
_symmetry_space_group_name_H-M 'F -4 3 m'
_symmetry_Int_Tables_number 216
_symmetry_space_group_name_Hall 'F -4 2 3'
_cell_length_a 6.154
_cell_length_b 6.154
_cell_length_c 6.154
_cell_angle_alpha 90.00
_cell_angle_beta 90.00
_cell_angle_gamma 90.00
loop_
_atom_site_label
_atom_site_type_symbol
_atom_site_fract_x
_atom_site_fract_y
_atom_site_fract_z
Zn1 Zn 0.000 0.000 0.000
Cu1 Cu 0.250 0.250 0.750
Mo1 Mo 0.250 0.250 0.250
As1 As 0.000 0.000 0.500
# - Relative energy among the computed polymorphs: 0 meV/atom
# - V: 14.6 Å³ per atom



# NaUFe, relaxed, DFT PBE
data_NaUFe
_chemical_formula_sum 'Na4 U4 Fe4'
_symmetry_space_group_name_H-M 'F -4 3 m'
_symmetry_Int_Tables_number 216
_symmetry_space_group_name_Hall 'F -4 2 3'
_cell_length_a 6.433
_cell_length_b 6.433
_cell_length_c 6.433
_cell_angle_alpha 90.00
_cell_angle_beta 90.00
_cell_angle_gamma 90.00
loop_
_atom_site_label
_atom_site_type_symbol
_atom_site_fract_x
_atom_site_fract_y
_atom_site_fract_z
Na1 Na 0.000 0.000 0.000
U1 U 0.250 0.250 0.750
Fe1 Fe 0.000 0.000 0.500
# - Relative energy among the computed polymorphs: 0 meV/atom
# - V: 22.2 Å³ per atom



# NbAlPd2, relaxed, DFT PBE
data_NbAlPd2
_chemical_formula_sum 'Nb4 Al4 Pd8'
_symmetry_space_group_name_H-M 'F -4 3 m'
_symmetry_Int_Tables_number 216
_symmetry_space_group_name_Hall 'F -4 2 3'
_cell_length_a 6.298
_cell_length_b 6.298
_cell_length_c 6.298
_cell_angle_alpha 90.00
_cell_angle_beta 90.00
_cell_angle_gamma 90.00
loop_
_atom_site_label
_atom_site_type_symbol
_atom_site_fract_x
_atom_site_fract_y
_atom_site_fract_z
Nb1 Nb 0.000 0.000 0.000
Al1 Al 0.250 0.250 0.750
Pd1 Pd 0.000 0.000 0.500
Pd2 Pd 0.250 0.250 0.250
# - E: -6.4415 eV per atom
# - V: 15.6 Å³ per atom



# ZrS4I4Cl2, relaxed, DFT PBE
data_ZrS4I4Cl2
_chemical_formula_sum 'Zr1 S4 I4 Cl2'
_symmetry_space_group_name_H-M 'P -1'
_symmetry_Int_Tables_number 2
_cell_length_a 7.663
_cell_length_b 7.781
_cell_length_c 8.083
_cell_angle_alpha 68.64
_cell_angle_beta 63.11
_cell_angle_gamma 62.79
loop_
_symmetry_equiv_pos_as_xyz
'x,y,z'
'-x,-y,-z'
loop_
_atom_site_label
_atom_site_type_symbol
_atom_site_fract_x
_atom_site_fract_y
_atom_site_fract_z
Zr1 Zr 0.000 0.000 0.000
S1 S 0.387 0.386 0.506
S2 S 0.430 0.652 0.350
I1 I 0.147 0.592 0.192
I2 I 0.435 0.968 0.786
Cl1 Cl 0.000 0.120 0.237
# - E: -3.6940 eV per atom
# - V: 34.1 Å³ per atom



# AgPb, relaxed, DFT PBE
data_AgPb
_chemical_formula_sum 'Ag4 Pb4'
_symmetry_space_group_name_H-M 'F -4 3 m'
_symmetry_Int_Tables_number 216
_symmetry_space_group_name_Hall 'F -4 2 3'
_cell_length_a 6.433
_cell_length_b 6.433
_cell_length_c 6.433
_cell_angle_alpha 90.00
_cell_angle_beta 90.00
_cell_angle_gamma 90.00
loop_
_atom_site_label
_atom_site_type_symbol
_atom_site_fract_x
_atom_site_fract_y
_atom_site_fract_z
Ag1 Ag 0.000 0.000 0.000
Pb1 Pb 0.250 0.250 0.750
# - E: -2.7490 eV per atom
# - V: 33.3 Å³ per atom